Entry 1:
Crystalline CsCaAlS3 at its relaxed geometry, computed with PBE-GGA.

```
CsCaAlS3
1.0
-3.2343 -1.8859 1.2445
1.5340 -4.5363 -9.1414
4.8445 -5.0075 5.0024
S Ca Al Cs
6 2 2 2
Direct
0.9139 0.8277 0.4101
0.4633 0.9266 0.7805
0.5367 0.0734 0.2195
0.0861 0.1723 0.5899
0.2227 0.4455 0.2890
0.7773 0.5545 0.7110
0.6721 0.3441 0.4511
0.3279 0.6559 0.5489
0.0186 0.0371 0.3459
0.9814 0.9629 0.6541
0.3492 0.6985 0.0438
0.6508 0.3015 0.9562
```

Results
ΔE_f (raw)   -1.452 eV/atom
Space group   C2/m (12)
Calculated total energy   -4.615 eV per atom
Total magnetic moment   0.000 μB per atom

---

Entry 2:
Crystalline Cs2CaAlSb2 at its relaxed geometry, computed with PBE-GGA.

```
Cs2CaAlSb2
1.0
7.3334 0.0000 0.0000
0.0000 7.4757 0.0000
-3.6667 -3.7378 8.8018
Sb Cs Ca Al
4 4 2 2
Direct
0.8105 0.0873 0.1746
0.3641 0.5873 0.1746
0.6359 0.4127 0.8254
0.1895 0.9127 0.8254
0.9227 0.6771 0.3542
0.4315 0.1771 0.3542
0.5685 0.8229 0.6458
0.0773 0.3229 0.6458
0.0000 0.2500 0.0000
0.0000 0.7500 0.0000
0.5000 0.2500 0.0000
0.5000 0.7500 0.0000
```

Results
ΔE_f (raw)   -0.496 eV/atom
Space group   Ibam (72)
Calculated total energy   -3.112 eV per atom
Total magnetic moment   0.000 μB per atom

---

Entry 3:
Crystalline CsCaAlSb2 at its relaxed geometry, computed with PBE-GGA.

```
CsCaAlSb2
1.0
-2.4251 6.1005 1.6456
-2.7272 0.8093 -7.0194
-5.6862 -3.8392 5.8527
Cs Sb Al Ca
2 4 2 2
Direct
0.7633 0.2500 0.5000
0.2367 0.7500 0.5000
0.2488 0.3844 0.7687
0.7512 0.8844 0.7687
0.2488 0.1156 0.2313
0.7512 0.6156 0.2313
0.0000 0.5000 0.0000
0.0000 0.0000 0.0000
0.5000 0.7500 0.0000
0.5000 0.2500 0.0000
```

Results
ΔE_f (raw)   -0.383 eV/atom
Space group   Cmme (67)
Calculated total energy   -3.351 eV per atom
Total magnetic moment   0.000 μB per atom

---

Entry 4:
Crystalline CsCaAlSe3 at its relaxed geometry, computed with PBE-GGA.

```
CsCaAlSe3
1.0
4.1372 0.0000 0.0000
-2.0686 10.4670 0.6696
0.0000 -2.2982 8.6707
Cs Se Ca Al
2 6 2 2
Direct
0.3492 0.6983 0.0456
0.6508 0.3017 0.9544
0.4634 0.9267 0.7859
0.2231 0.4461 0.2848
0.9097 0.8195 0.4045
0.7769 0.5539 0.7152
0.5366 0.0733 0.2141
0.0903 0.1805 0.5955
0.3280 0.6560 0.5531
0.6720 0.3440 0.4469
0.9815 0.9630 0.6517
0.0185 0.0370 0.3483
```

Results
ΔE_f (raw)   -1.336 eV/atom
Space group   C2/m (12)
Calculated total energy   -4.177 eV per atom
Total magnetic moment   0.000 μB per atom

---

Entry 5:
Crystalline CsCa2Al2Sn2 at its relaxed geometry, computed with PBE-GGA.

```
CsCa2Al2Sn2
1.0
-1.4494 0.3454 -4.2351
-3.1999 -3.8547 3.1604
-3.9821 9.9305 2.1727
Sn Ca Al Cs
2 2 2 1
Direct
0.2201 0.4402 0.7250
0.7799 0.5598 0.2750
0.1143 0.2287 0.3917
0.8857 0.7713 0.6083
0.4064 0.8128 0.3903
0.5936 0.1872 0.6097
0.0000 0.0000 0.0000
```

Results
ΔH_f (0 K)   -309 meV per atom
Space group   C2/m (12)
Calculated total energy   -3.216 eV per atom
Total magnetic moment   0.000 μB per atom

---

Entry 6:
Crystalline CsCaTaAl2 at its relaxed geometry, computed with PBE-GGA.

```
CsCaTaAl2
1.0
-2.9568 4.5736 -1.1069
0.5118 -0.9870 -5.4451
-4.9251 -3.1576 0.1094
Ta Ca Cs Al
1 1 1 2
Direct
0.5000 0.5000 0.5000
0.0000 0.0000 0.0000
0.0000 0.0000 0.5000
0.0000 0.5000 0.0000
0.5000 0.0000 0.0000
```

Results
ΔH_f (0 K)   1934 meV per atom
Space group   P4/mmm (123)
Calculated total energy   -2.505 eV per atom
Total magnetic moment   0.543 μB per atom

---

Entry 7:
Crystalline CsCaAlTe3 at its relaxed geometry, computed with PBE-GGA.

```
CsCaAlTe3
1.0
4.4714 0.0000 0.0000
-2.2357 11.0981 0.4749
0.0000 -2.4185 9.3306
Te Al Cs Ca
6 2 2 2
Direct
0.9038 0.8076 0.3972
0.7770 0.5540 0.7207
0.0962 0.1924 0.6028
0.2230 0.4460 0.2793
0.5365 0.0730 0.2120
0.4635 0.9270 0.7880
0.9817 0.9635 0.6470
0.0183 0.0365 0.3530
0.3493 0.6986 0.0451
0.6507 0.3014 0.9549
0.6719 0.3438 0.4439
0.3281 0.6562 0.5561
```

Results
ΔE_f (raw)   -1.011 eV/atom
Space group   C2/m (12)
Calculated total energy   -3.681 eV per atom
Total magnetic moment   0.000 μB per atom

---

Entry 8:
Crystalline Ca3Al9Cu2 at its relaxed geometry, computed with PBE-GGA.

```
Ca3Al9Cu2
1.0
-1.7592 0.9695 -3.8854
-8.1028 -1.2761 0.8884
-3.3342 7.4910 0.9169
Al Ca Cu
9 3 2
Direct
0.3450 0.0193 0.2907
0.1303 0.1520 0.5873
0.1303 0.5873 0.1520
0.6550 0.9807 0.7093
0.8697 0.4127 0.8480
0.3450 0.2907 0.0193
0.6550 0.7093 0.9807
0.0000 0.5000 0.5000
0.8697 0.8480 0.4127
0.6972 0.3028 0.3028
0.3028 0.6972 0.6972
0.0000 0.0000 0.0000
0.5000 0.3043 0.6957
0.5000 0.6957 0.3043
```

Results
ΔH_f (0 K)   -261 meV per atom
Space group   Immm (71)
Calculated total energy   -3.681 eV per atom
Total magnetic moment   0.000 μB per atom

---

Entry 9:
Crystalline CaAlCu3 at its relaxed geometry, computed with PBE-GGA.

```
CaAlCu3
1.0
4.6089 0.0000 0.0000
0.0000 4.6089 0.0000
0.0000 0.0000 4.6089
Cu Ca Al
3 1 1
Direct
0.5000 0.0000 0.0000
0.0000 0.5000 0.0000
0.0000 0.0000 0.5000
0.5000 0.5000 0.5000
0.0000 0.0000 0.0000
```

Results
ΔH_f (0 K)   127 meV per atom
Space group   Pm-3m (221)
Calculated total energy   -3.479 eV per atom
Energy relative to the lowest polymorph listed for this composition   1.28 eV/f.u.
Total magnetic moment   0.000 μB per atom

---

Entry 10:
Crystalline CaAl7Cu5 at its relaxed geometry, computed with PBE-GGA.

```
CaAl7Cu5
1.0
-3.4663 3.7403 0.4204
-2.4032 1.9418 -5.9511
-6.2346 -2.3594 0.7247
Cu Al Ca
5 7 1
Direct
0.0032 0.4956 0.0011
0.7282 0.7718 0.7718
0.0032 0.0011 0.4956
0.5001 0.4956 0.0011
0.5001 0.0011 0.4956
0.9917 0.3564 0.6601
0.3456 0.6544 0.6544
0.2722 0.2278 0.2278
0.6489 0.3511 0.3511
0.9917 0.6601 0.3564
0.5069 0.7835 0.2026
0.5069 0.2026 0.7835
0.0012 0.9988 0.9988
```

Results
ΔH_f (0 K)   -289 meV per atom
Space group   Imm2 (44)
Calculated total energy   -4.033 eV per atom
Total magnetic moment   0.000 μB per atom

---

Entry 11:
Crystalline CaAl2Cu at its relaxed geometry, computed with PBE-GGA.

```
CaAl2Cu
1.0
-4.0377 1.2733 -2.3984
1.0344 -3.2524 -3.4682
-5.8262 -6.8249 1.2492
Cu Al Ca
2 4 2
Direct
0.7500 0.2500 0.5000
0.0000 0.0000 0.0000
0.3750 0.1726 0.7500
0.8274 0.1250 0.2500
0.9226 0.6250 0.2500
0.8750 0.0774 0.7500
0.5000 0.5000 0.0000
0.2500 0.7500 0.5000
```

Results
ΔH_f (0 K)   60 meV per atom
Space group   I-42d (122)
Calculated total energy   -3.336 eV per atom
Total magnetic moment   0.000 μB per atom

---

Entry 12:
Crystalline CaAl2Cu at its relaxed geometry, computed with PBE-GGA.

```
CaAl2Cu
1.0
0.0000 3.3130 3.3130
3.3130 0.0000 3.3130
3.3130 3.3130 0.0000
Al Cu Ca
2 1 1
Direct
0.7500 0.7500 0.7500
0.2500 0.2500 0.2500
0.5000 0.5000 0.5000
0.0000 0.0000 0.0000
```

Results
ΔH_f (0 K)   -2 meV per atom
Space group   Fm-3m (225)
Calculated total energy   -3.398 eV per atom
Total magnetic moment   0.000 μB per atom

---

Entry 13:
Crystalline CaAlCu3 at its relaxed geometry, computed with PBE-GGA.

```
CaAlCu3
1.0
-1.1856 -2.5746 -4.2556
6.5720 -4.9869 1.1861
-5.1589 1.0829 3.8539
Cu Al Ca
6 2 2
Direct
0.2285 0.2285 0.9569
0.2500 0.9110 0.5000
0.7285 0.2285 0.9569
0.7715 0.7715 0.0431
0.2715 0.7715 0.0431
0.7500 0.0890 0.5000
0.5000 0.0000 0.0000
0.0000 0.5000 0.0000
0.2500 0.2998 0.5000
0.7500 0.7002 0.5000
```

Results
ΔH_f (0 K)   -129 meV per atom
Space group   Imma (74)
Calculated total energy   -3.735 eV per atom
Energy relative to the lowest polymorph listed for this composition   0.00 eV/f.u.
Total magnetic moment   0.000 μB per atom

---

Entry 14:
Crystalline CaAl2Cu at its relaxed geometry, computed with PBE-GGA.

```
CaAl2Cu
1.0
5.6455 0.0000 0.0000
0.0000 7.0137 0.0000
0.0000 0.0000 15.5799
Al Ca Cu
16 8 8
Direct
0.7140 0.5595 0.5409
0.2140 0.4405 0.9591
0.0229 0.5571 0.7874
0.2860 0.4405 0.4591
0.0229 0.9429 0.7874
0.9771 0.4429 0.2126
0.4771 0.5571 0.2874
0.4771 0.9429 0.2874
0.7860 0.5595 0.0409
0.5229 0.0571 0.7126
0.9771 0.0571 0.2126
0.5229 0.4429 0.7126
0.2140 0.0595 0.9591
0.7140 0.9405 0.5409
0.7860 0.9405 0.0409
0.2860 0.0595 0.4591
0.9809 0.7500 0.3627
0.5191 0.7500 0.8627
0.0191 0.2500 0.6373
0.7778 0.2500 0.3950
0.2778 0.7500 0.1050
0.4809 0.2500 0.1373
0.7222 0.2500 0.8950
0.2222 0.7500 0.6050
0.7528 0.7500 0.1824
0.5133 0.2500 0.5722
0.0133 0.7500 0.9278
0.2528 0.2500 0.3176
0.7472 0.7500 0.6824
0.2472 0.2500 0.8176
0.9867 0.2500 0.0722
0.4867 0.7500 0.4278
```

Results
ΔH_f (0 K)   -305 meV per atom
Space group   Pnma (62)
Calculated total energy   -3.701 eV per atom
Total magnetic moment   0.000 μB per atom

---

Entry 15:
Crystalline CaAlCu3 at its relaxed geometry, computed with PBE-GGA.

```
CaAlCu3
1.0
5.0408 0.0000 0.0000
0.0000 5.0408 0.0000
0.0000 0.0000 5.0408
Cu Al Ca
3 1 1
Direct
0.0000 0.5000 0.0000
0.5000 0.0000 0.0000
0.0000 0.0000 0.5000
0.5000 0.5000 0.5000
0.0000 0.0000 0.0000
```

Results
ΔH_f (0 K)   1237 meV per atom
Space group   Pm-3m (221)
Calculated total energy   -2.370 eV per atom
Energy relative to the lowest polymorph listed for this composition   6.83 eV/f.u.
Total magnetic moment   0.000 μB per atom

---

Entry 16:
Crystalline CaAl3Cu at its relaxed geometry, computed with PBE-GGA.

```
CaAl3Cu
1.0
-1.3032 3.9803 3.6544
-4.7174 0.9952 -2.7662
-2.6352 -3.7500 3.1447
Al Ca Cu
3 1 1
Direct
0.0000 0.0000 0.5000
0.0000 0.5000 0.0000
0.5000 0.0000 0.0000
0.0000 0.0000 0.0000
0.5000 0.5000 0.5000
```

Results
ΔH_f (0 K)   1512 meV per atom
Space group   Pm-3m (221)
Calculated total energy   -1.953 eV per atom
Total magnetic moment   0.000 μB per atom

---

Entry 17:
Crystalline Ca3Al2Cu6 at its relaxed geometry, computed with PBE-GGA.

```
Ca3Al2Cu6
1.0
7.5891 0.0000 -2.6831
-3.7945 6.5723 -2.6831
0.0000 0.0000 8.0494
Ca Cu Al
6 12 4
Direct
0.0000 0.7109 0.7109
0.2891 0.0000 0.2891
0.0000 0.2891 0.2891
0.7109 0.0000 0.7109
0.2891 0.2891 0.0000
0.7109 0.7109 0.0000
0.3280 0.6720 0.0000
0.3439 0.6720 0.6720
0.0000 0.3280 0.6720
0.3280 0.0000 0.6720
0.6720 0.3439 0.6720
0.3280 0.3280 0.6561
0.6720 0.3280 0.0000
0.0000 0.6720 0.3280
0.6561 0.3280 0.3280
0.3280 0.6561 0.3280
0.6720 0.6720 0.3439
0.6720 0.0000 0.3280
0.5000 0.5000 0.5000
0.0000 0.0000 0.5000
0.5000 0.0000 0.0000
0.0000 0.5000 0.0000
```

Results
ΔH_f (0 K)   -201 meV per atom
Space group   Im-3m (229)
Calculated total energy   -3.662 eV per atom
Total magnetic moment   0.000 μB per atom

---

Entry 18:
Crystalline CaAl7Cu12 at its relaxed geometry, computed with PBE-GGA.

```
CaAl7Cu12
1.0
-1.5145 -4.8663 -3.8067
1.8000 -3.0314 6.7024
-6.1541 4.3979 0.3697
Cu Al Ca
12 7 1
Direct
0.7311 0.4622 0.7311
0.3969 0.0000 0.3374
0.3969 0.3374 0.0000
0.9405 0.3374 0.3374
0.0000 0.7311 0.2689
0.6031 0.6626 0.0000
0.0595 0.6626 0.6626
0.2689 0.2689 0.5378
0.6031 0.0000 0.6626
0.2689 0.5378 0.2689
0.0000 0.2689 0.7311
0.7311 0.7311 0.4622
0.8069 0.3497 0.0000
0.4572 0.6503 0.6503
0.1931 0.0000 0.6503
0.1931 0.6503 0.0000
0.8069 0.0000 0.3497
0.5000 0.0000 0.0000
0.5428 0.3497 0.3497
0.0000 0.0000 0.0000
```

Results
ΔH_f (0 K)   -85 meV per atom
Space group   R-3m (166)
Calculated total energy   -3.953 eV per atom
Total magnetic moment   0.000 μB per atom

---

Entry 19:
Crystalline CaAl3Cu at its relaxed geometry, computed with PBE-GGA.

```
CaAl3Cu
1.0
-1.1997 -3.9166 -2.2988
4.0495 0.1537 -2.3752
2.0557 -2.5884 3.3373
Al Cu Ca
3 1 1
Direct
0.0000 0.0000 0.5000
0.5000 0.0000 0.0000
0.0000 0.5000 0.0000
0.0000 0.0000 0.0000
0.5000 0.5000 0.5000
```

Results
ΔH_f (0 K)   26 meV per atom
Space group   Pm-3m (221)
Calculated total energy   -3.439 eV per atom
Total magnetic moment   0.000 μB per atom

---

Entry 20:
Crystalline CaAl2Cu at its relaxed geometry, computed with PBE-GGA.

```
CaAl2Cu
1.0
5.6882 0.1119 0.0681
-2.4046 4.7938 -0.1257
0.4903 0.8358 2.7718
Al Ca Cu
2 1 1
Direct
0.0000 0.0000 0.0000
0.0000 0.5000 0.5000
0.5000 0.5000 0.0000
0.5000 0.0000 0.5000
```

Results
ΔH_f (0 K)   134 meV per atom
Space group   C2/m (12)
Calculated total energy   -3.262 eV per atom
Total magnetic moment   0.000 μB per atom